Mn2Al2Ag, optimized geometry, DFT PBE-GGA; calculated total energy = -5.687 eV/atom; formation energy = 0.05 eV/atom; ρ = 6.4 g/cm³; calculated volume = 14.2 Å³ per atom; magnetization = 0.0 μB per formula unit; Fermi-level density of states = 0.658 states/eV/atom
1.0
7.176 0.000 0.000
0.000 7.176 0.000
0.000 0.000 2.755
Mn Al Ag
4 4 2
direct
0.102 0.398 0.000
0.398 0.898 0.000
0.602 0.102 0.000
0.898 0.602 0.000
0.187 0.687 0.500
0.313 0.187 0.500
0.687 0.813 0.500
0.813 0.313 0.500
0.000 0.000 0.000
0.500 0.500 0.000

MnAlAg3, optimized geometry, DFT PBE-GGA; calculated total energy = -3.591 eV/atom; formation energy = 0.70 eV/atom; ρ = 6.1 g/cm³; calculated volume = 22.0 Å³ per atom; magnetization = 4.6 μB per formula unit; Fermi-level density of states = 0.433 states/eV/atom
1.0
4.793 0.000 0.000
0.000 4.793 0.000
0.000 0.000 4.793
Mn Al Ag
1 1 3
direct
0.000 0.000 0.000
0.500 0.500 0.500
0.000 0.500 0.500
0.500 0.000 0.500
0.500 0.500 0.000